Computed, not measured: crystalline Ru2RhSe at its relaxed geometry at the PBE level of DFT.

* formation energy from raw total energies: 0.31 eV/atom
* uncorrected energy: -28.162 eV per formula unit

a b c (Å): 2.8676 2.8676 24.8105
angles (deg): 90.00 90.00 120.00
With the nearest neighbours (Å) after each atom.
Space group R-3m (No. 166, hexagonal axes)
One atom of each set of equivalent atoms:
1 Ru 0.0000 0.0000 0.2463 x6  3 Se 2.58, 3 Rh 2.72, 6 Ru 2.87
2 Rh 0.0000 0.0000 0.0000 x3  6 Ru 2.72, 6 Rh 2.87
3 Se 0.0000 0.0000 0.5000 x3  6 Ru 2.58, 6 Se 2.87